No. 1
A plane-wave DFT calculation with PBE-GGA was carried out for a relaxed structure of Th8Tc3NiSe4.

## Properties
The uncorrected formation energy is -0.85 eV per atom. The density of states at the Fermi level comes out at 9.5 states/eV per cell. For the calculated density, the calculation gives 9.78 g cm⁻³. Its crystal system is trigonal. The magnetic moment comes out at 0.0 μB per formula unit.

CIF file:
```
data_Th8Tc3NiSe4
_cell_length_a 8.767
_cell_length_b 8.767
_cell_length_c 8.767
_cell_angle_alpha 55.68
_cell_angle_beta 55.68
_cell_angle_gamma 55.68
_space_group_name_H-M_alt 'P 1'
_space_group_IT_number 1
_space_group_name_Hall 'P 1'
loop_
_atom_site_label
_atom_site_fract_x
_atom_site_fract_y
_atom_site_fract_z
Th1 0.234 0.740 0.740
Th2 0.239 0.239 0.239
Th3 0.260 0.260 0.766
Th4 0.260 0.766 0.260
Th5 0.740 0.234 0.740
Th6 0.740 0.740 0.234
Th7 0.761 0.761 0.761
Th8 0.766 0.260 0.260
Tc1 0.000 0.000 0.500
Tc2 0.000 0.500 0.000
Tc3 0.500 0.000 0.000
Ni1 0.500 0.500 0.500
Se1 0.000 0.000 0.000
Se2 0.000 0.500 0.500
Se3 0.500 0.000 0.500
Se4 0.500 0.500 0.000
```

---

No. 2
A plane-wave DFT calculation with PBE-GGA was carried out for a relaxed structure of Tl2TcNiSe.

## Properties
The energy above the most stable polymorph in this dataset comes out at 0.0 meV/atom. The uncorrected formation energy is 0.82 eV per atom. The density of states at the Fermi level comes out at 12.7 states/eV per cell. For the calculated density, the calculation gives 7.85 g cm⁻³. Its crystal system is tetragonal. The magnetic moment comes out at 0.2 μB per formula unit.

CIF file:
```
data_Tl2TcNiSe
_cell_length_a 5.433
_cell_length_b 5.433
_cell_length_c 4.617
_cell_angle_alpha 90.00
_cell_angle_beta 90.00
_cell_angle_gamma 90.00
_space_group_name_H-M_alt 'P 1'
_space_group_IT_number 1
_space_group_name_Hall 'P 1'
loop_
_atom_site_label
_atom_site_fract_x
_atom_site_fract_y
_atom_site_fract_z
Tl1 0.000 0.500 0.000
Tl2 0.500 0.000 0.000
Tc1 0.000 0.000 0.000
Ni1 0.500 0.500 0.500
Se1 0.000 0.000 0.500
```

---

No. 3
A plane-wave DFT calculation with PBE-GGA was carried out for a relaxed structure of Tl2TcNiSe.

## Properties
The energy above the most stable polymorph in this dataset comes out at 44.0 meV/atom. The uncorrected formation energy is 0.86 eV per atom. The density of states at the Fermi level comes out at 6.4 states/eV per cell. For the calculated density, the calculation gives 8.23 g cm⁻³. Its crystal system is tetragonal. The magnetic moment comes out at 0.8 μB per formula unit.

CIF file:
```
data_Tl2TcNiSe
_cell_length_a 5.390
_cell_length_b 5.390
_cell_length_c 4.474
_cell_angle_alpha 90.00
_cell_angle_beta 90.00
_cell_angle_gamma 90.00
_space_group_name_H-M_alt 'P 1'
_space_group_IT_number 1
_space_group_name_Hall 'P 1'
loop_
_atom_site_label
_atom_site_fract_x
_atom_site_fract_y
_atom_site_fract_z
Tl1 0.000 0.500 0.000
Tl2 0.500 0.000 0.000
Tc1 0.000 0.000 0.000
Ni1 0.000 0.000 0.500
Se1 0.500 0.500 0.500
```

---

No. 4
A plane-wave DFT calculation with PBE-GGA was carried out for a relaxed structure of VTcNi2Se.

## Properties
The uncorrected formation energy is 1.11 eV per atom. The density of states at the Fermi level comes out at 5.8 states/eV per cell. For the calculated density, the calculation gives 6.79 g cm⁻³. Its crystal system is tetragonal. The magnetic moment comes out at 0.0 μB per formula unit.

CIF file:
```
data_VTcNi2Se
_cell_length_a 4.384
_cell_length_b 4.384
_cell_length_c 4.393
_cell_angle_alpha 90.00
_cell_angle_beta 90.00
_cell_angle_gamma 90.00
_space_group_name_H-M_alt 'P 1'
_space_group_IT_number 1
_space_group_name_Hall 'P 1'
loop_
_atom_site_label
_atom_site_fract_x
_atom_site_fract_y
_atom_site_fract_z
V1 0.000 0.000 0.000
Tc1 0.000 0.000 0.500
Ni1 0.000 0.500 0.000
Ni2 0.500 0.000 0.000
Se1 0.500 0.500 0.500
```

---

No. 5
A plane-wave DFT calculation with PBE-GGA was carried out for a relaxed structure of NiTe3Se.

## Properties
The energy above the most stable polymorph in this dataset comes out at 0.0 meV/atom. The uncorrected formation energy is 0.39 eV per atom. The density of states at the Fermi level comes out at 5.2 states/eV per cell. For the calculated density, the calculation gives 6.92 g cm⁻³. Its crystal system is cubic. The magnetic moment comes out at 0.0 μB per formula unit.

CIF file:
```
data_NiTe3Se
_cell_length_a 4.999
_cell_length_b 4.999
_cell_length_c 4.999
_cell_angle_alpha 90.00
_cell_angle_beta 90.00
_cell_angle_gamma 90.00
_space_group_name_H-M_alt 'P 1'
_space_group_IT_number 1
_space_group_name_Hall 'P 1'
loop_
_atom_site_label
_atom_site_fract_x
_atom_site_fract_y
_atom_site_fract_z
Ni1 0.000 0.000 0.000
Te1 0.000 0.000 0.500
Te2 0.000 0.500 0.000
Te3 0.500 0.000 0.000
Se1 0.500 0.500 0.500
```

---

No. 6
A plane-wave DFT calculation with PBE-GGA was carried out for a relaxed structure of NiTeSe2.

## Properties
The uncorrected formation energy is -0.05 eV per atom. The density of states at the Fermi level comes out at 3.4 states/eV per cell. For the calculated density, the calculation gives 5.74 g cm⁻³. Its crystal system is monoclinic. The magnetic moment comes out at 0.0 μB per formula unit.

CIF file:
```
data_NiTeSe2
_cell_length_a 6.227
_cell_length_b 6.227
_cell_length_c 7.480
_cell_angle_alpha 96.18
_cell_angle_beta 96.18
_cell_angle_gamma 134.40
_space_group_name_H-M_alt 'P 1'
_space_group_IT_number 1
_space_group_name_Hall 'P 1'
loop_
_atom_site_label
_atom_site_fract_x
_atom_site_fract_y
_atom_site_fract_z
Ni1 0.020 0.980 0.750
Ni2 0.980 0.020 0.250
Te1 0.373 0.627 0.250
Te2 0.627 0.373 0.750
Se1 0.102 0.850 0.466
Se2 0.150 0.898 0.034
Se3 0.850 0.102 0.966
Se4 0.898 0.150 0.534
```

---

No. 7
A plane-wave DFT calculation with PBE-GGA was carried out for a relaxed structure of NiTeSe2.

## Properties
The uncorrected formation energy is 0.21 eV per atom. The density of states at the Fermi level comes out at 2.9 states/eV per cell. For the calculated density, the calculation gives 6.56 g cm⁻³. Its crystal system is tetragonal. The magnetic moment comes out at 0.1 μB per formula unit.

CIF file:
```
data_NiTeSe2
_cell_length_a 3.967
_cell_length_b 3.967
_cell_length_c 5.535
_cell_angle_alpha 90.00
_cell_angle_beta 90.00
_cell_angle_gamma 90.00
_space_group_name_H-M_alt 'P 1'
_space_group_IT_number 1
_space_group_name_Hall 'P 1'
loop_
_atom_site_label
_atom_site_fract_x
_atom_site_fract_y
_atom_site_fract_z
Ni1 0.000 0.000 0.000
Te1 0.500 0.500 0.500
Se1 0.000 0.000 0.500
Se2 0.500 0.500 0.000
```

---

No. 8
A plane-wave DFT calculation with PBE-GGA was carried out for a relaxed structure of NiTe2Se.

## Properties
The uncorrected formation energy is 0.26 eV per atom. The density of states at the Fermi level comes out at 3.3 states/eV per cell. For the calculated density, the calculation gives 7.21 g cm⁻³. Its crystal system is orthorhombic. The magnetic moment comes out at 0.0 μB per formula unit.

CIF file:
```
data_NiTe2Se
_cell_length_a 3.195
_cell_length_b 3.195
_cell_length_c 9.145
_cell_angle_alpha 90.00
_cell_angle_beta 90.00
_cell_angle_gamma 104.25
_space_group_name_H-M_alt 'P 1'
_space_group_IT_number 1
_space_group_name_Hall 'P 1'
loop_
_atom_site_label
_atom_site_fract_x
_atom_site_fract_y
_atom_site_fract_z
Ni1 0.000 0.000 0.000
Te1 0.500 0.500 0.187
Te2 0.500 0.500 0.813
Se1 0.000 0.000 0.500
```

---

No. 9
A plane-wave DFT calculation with PBE-GGA was carried out for a relaxed structure of NiTeSe2.

## Properties
The uncorrected formation energy is 0.05 eV per atom. The density of states at the Fermi level comes out at 3.7 states/eV per cell. For the calculated density, the calculation gives 6.57 g cm⁻³. Its crystal system is trigonal. The magnetic moment comes out at 0.0 μB per formula unit.

CIF file:
```
data_NiTeSe2
_cell_length_a 7.934
_cell_length_b 7.934
_cell_length_c 7.934
_cell_angle_alpha 26.40
_cell_angle_beta 26.40
_cell_angle_gamma 26.40
_space_group_name_H-M_alt 'P 1'
_space_group_IT_number 1
_space_group_name_Hall 'P 1'
loop_
_atom_site_label
_atom_site_fract_x
_atom_site_fract_y
_atom_site_fract_z
Ni1 0.000 0.000 0.000
Te1 0.591 0.591 0.591
Se1 0.171 0.171 0.171
Se2 0.718 0.718 0.718
```

---

No. 10
A plane-wave DFT calculation with PBE-GGA was carried out for a relaxed structure of NiTeSe2.

## Properties
The uncorrected formation energy is 0.27 eV per atom. The density of states at the Fermi level comes out at 2.2 states/eV per cell. For the calculated density, the calculation gives 6.66 g cm⁻³. Its crystal system is orthorhombic. The magnetic moment comes out at 0.0 μB per formula unit.

CIF file:
```
data_NiTeSe2
_cell_length_a 3.069
_cell_length_b 3.229
_cell_length_c 8.664
_cell_angle_alpha 90.00
_cell_angle_beta 90.00
_cell_angle_gamma 90.00
_space_group_name_H-M_alt 'P 1'
_space_group_IT_number 1
_space_group_name_Hall 'P 1'
loop_
_atom_site_label
_atom_site_fract_x
_atom_site_fract_y
_atom_site_fract_z
Ni1 0.000 0.000 0.000
Te1 0.500 0.500 0.772
Se1 0.000 0.000 0.478
Se2 0.500 0.500 0.118
```

---

No. 11
A plane-wave DFT calculation with PBE-GGA was carried out for a relaxed structure of NiTe2Se.

## Properties
The uncorrected formation energy is 0.56 eV per atom. The density of states at the Fermi level comes out at 4.2 states/eV per cell. For the calculated density, the calculation gives 7.52 g cm⁻³. Its crystal system is cubic. The magnetic moment comes out at 0.0 μB per formula unit.

CIF file:
```
data_NiTe2Se
_cell_length_a 4.968
_cell_length_b 4.968
_cell_length_c 4.968
_cell_angle_alpha 60.00
_cell_angle_beta 60.00
_cell_angle_gamma 60.00
_space_group_name_H-M_alt 'P 1'
_space_group_IT_number 1
_space_group_name_Hall 'P 1'
loop_
_atom_site_label
_atom_site_fract_x
_atom_site_fract_y
_atom_site_fract_z
Ni1 0.000 0.000 0.000
Te1 0.500 0.500 0.500
Te2 0.750 0.750 0.750
Se1 0.250 0.250 0.250
```

---

No. 12
A plane-wave DFT calculation with PBE-GGA was carried out for a relaxed structure of Ni2TeSe.

## Properties
The energy above the most stable polymorph in this dataset comes out at 210.9 meV/atom. The uncorrected formation energy is 0.03 eV per atom. The density of states at the Fermi level comes out at 3.7 states/eV per cell. For the calculated density, the calculation gives 7.83 g cm⁻³. Its crystal system is orthorhombic. The magnetic moment comes out at 0.0 μB per formula unit.

CIF file:
```
data_Ni2TeSe
_cell_length_a 6.384
_cell_length_b 6.384
_cell_length_c 6.384
_cell_angle_alpha 150.09
_cell_angle_beta 147.93
_cell_angle_gamma 44.42
_space_group_name_H-M_alt 'P 1'
_space_group_IT_number 1
_space_group_name_Hall 'P 1'
loop_
_atom_site_label
_atom_site_fract_x
_atom_site_fract_y
_atom_site_fract_z
Ni1 0.000 0.000 0.000
Ni2 0.808 0.308 0.500
Te1 0.194 0.694 0.500
Se1 0.453 0.453 0.000
```

---

No. 13
A plane-wave DFT calculation with PBE-GGA was carried out for a relaxed structure of NiTeSe2.

## Properties
The uncorrected formation energy is -0.06 eV per atom. The density of states at the Fermi level comes out at 8.3 states/eV per cell. For the calculated density, the calculation gives 5.90 g cm⁻³. Its crystal system is monoclinic. The magnetic moment comes out at 0.0 μB per formula unit.

CIF file:
```
data_NiTeSe2
_cell_length_a 8.894
_cell_length_b 5.264
_cell_length_c 8.718
_cell_angle_alpha 90.00
_cell_angle_beta 108.24
_cell_angle_gamma 90.00
_space_group_name_H-M_alt 'P 1'
_space_group_IT_number 1
_space_group_name_Hall 'P 1'
loop_
_atom_site_label
_atom_site_fract_x
_atom_site_fract_y
_atom_site_fract_z
Ni1 0.170 0.154 0.183
Ni2 0.170 0.346 0.683
Ni3 0.830 0.654 0.317
Ni4 0.830 0.846 0.817
Te1 0.107 0.041 0.882
Te2 0.107 0.459 0.382
Te3 0.893 0.541 0.618
Te4 0.893 0.959 0.118
Se1 0.322 0.680 0.844
Se2 0.322 0.820 0.344
Se3 0.349 0.040 0.659
Se4 0.349 0.460 0.159
Se5 0.651 0.540 0.841
Se6 0.651 0.960 0.341
Se7 0.678 0.180 0.656
Se8 0.678 0.320 0.156
```